Entry 1:
{
  "formula": "KFeSnIr2",
  "functional": "PBE",
  "state": "relaxed",
  "lattice": [[4.917, 0.000, 0.000], [0.000, 5.571, 0.000], [0.000, 0.000, 4.917]],
  "species": ["Fe", "Sn", "K", "Ir", "Ir"],
  "fractional_positions": [[0.500, 0.500, 0.500], [0.000, 0.000, 0.000], [0.000, 0.500, 0.000], [0.000, 0.000, 0.500], [0.500, 0.000, 0.000]],
  "e_form_ev_per_atom": 1.70
}


Entry 2:
{
  "formula": "NaGa3B4O12",
  "functional": "PBE",
  "state": "relaxed",
  "lattice": [[6.083, 0.027, 0.037], [-1.440, 5.911, 0.037], [-1.440, -1.841, 5.617]],
  "species": ["Ga", "Ga", "Ga", "B", "B", "B", "B", "Na", "O", "O", "O", "O", "O", "O", "O", "O", "O", "O", "O", "O"],
  "fractional_positions": [[0.447, 0.000, 0.553], [0.553, 0.447, 0.000], [0.000, 0.553, 0.447], [0.946, 0.054, 0.500], [0.500, 0.946, 0.054], [0.054, 0.500, 0.946], [0.500, 0.500, 0.500], [0.000, 0.000, 0.000], [0.781, 0.026, 0.617], [0.383, 0.974, 0.219], [0.500, 0.355, 0.645], [0.026, 0.617, 0.781], [0.500, 0.092, 0.908], [0.617, 0.781, 0.026], [0.092, 0.908, 0.500], [0.219, 0.383, 0.974], [0.645, 0.500, 0.355], [0.974, 0.219, 0.383], [0.908, 0.500, 0.092], [0.355, 0.645, 0.500]],
  "formation_energy_uncorrected_mev_per_atom": -1952
}